# CaAlIn2Ag4

Crystalline CaAlIn2Ag4 at its relaxed geometry (PBE-GGA, the Alexandria database).

Lattice parameters (Å, degrees): 4.7445 4.7445 26.1501 90.00 90.00 120.00
With the nearest neighbours (Å) after each atom.
Space group R-3m (No. 166, hexagonal axes)
Unique sites:
Ca1 0.0000 0.0000 0.0000 x3  6 Ag 3.21, 6 In 3.42
Al1 0.0000 0.0000 0.5000 x3  8 Ag 2.69-2.84
In1 0.0000 0.0000 0.2548 x6  4 Ag 2.77-3.06
Ag1 0.0000 0.0000 0.1377 x6  3 Al 2.84, 4 In 3.06-3.15, 3 Ag 3.13
Ag2 0.0000 0.0000 0.3970 x6  1 Al 2.69, 3 In 2.77

Computed properties:
The raw total energy comes out at -2.951 eV per atom.

# K2Rb5Hg

Crystalline K2Rb5Hg at its relaxed geometry (PBE-GGA, the Alexandria database).

Lattice parameters (Å, degrees): 9.2748 9.2902 9.3018 104.47 104.81 119.57
With the nearest neighbours (Å) after each atom.
Space group P1 (No. 1)
Unique sites:
K1 0.0000 0.0000 0.0000 x1  2 K 4.67-4.68, 8 Rb 4.67-4.70
K2 0.4996 0.4995 0.0004 x1  2 K 4.67-4.68, 8 Rb 4.67-4.69
Rb1 0.0377 0.5380 0.0763 x1  1 Hg 3.86
Rb2 0.0385 0.9618 0.4999 x1  1 Hg 3.85
Rb3 0.4617 0.5383 0.5005 x1  1 Hg 3.85
Rb4 0.4618 0.9615 0.9239 x1  1 Hg 3.86
Rb5 0.6517 0.1511 0.5001 x1  1 Hg 3.77
Hg1 0.0550 0.5554 0.5001 x1  5 Rb 3.77-3.86

Computed properties:
The raw total energy comes out at -0.928 eV per atom.

# SnBiP3

Crystalline SnBiP3 at its relaxed geometry (PBE-GGA, the Alexandria database).

Lattice parameters (Å, degrees): 5.0182 5.0182 5.0182 90.00 90.00 90.00
With the nearest neighbours (Å) after each atom.
Space group Pm-3m (No. 221)
Unique sites:
Sn1 0.0000 0.0000 0.0000 x1  6 P 2.51
Bi1 0.5000 0.5000 0.5000 x1  12 P 3.55
P1 0.0000 0.0000 0.5000 x3  2 Sn 2.51

Computed properties:
The raw total energy comes out at -3.875 eV per atom.

# CsHgGeMo2

Crystalline CsHgGeMo2 at its relaxed geometry (PBE-GGA, the Alexandria database).

Lattice parameters (Å, degrees): 4.9150 4.9150 5.5316 90.00 90.00 90.00
With the nearest neighbours (Å) after each atom.
Space group P4/mmm (No. 123)
Unique sites:
Cs1 0.0000 0.0000 0.0000 x1  4 Hg 3.48, 8 Mo 3.70
Hg1 0.5000 0.5000 0.0000 x1  2 Ge 2.77
Ge1 0.5000 0.5000 0.5000 x1  4 Mo 2.46
Mo1 0.0000 0.5000 0.5000 x2  2 Ge 2.46

Computed properties:
The raw total energy comes out at -4.135 eV per atom.

# IrRhBr

Crystalline IrRhBr at its relaxed geometry (PBE-GGA, the Alexandria database).

Lattice parameters (Å, degrees): 6.1414 6.1414 6.1414 90.00 90.00 90.00
With the nearest neighbours (Å) after each atom.
Space group F-43m (No. 216)
Unique sites:
Ir1 0.0000 0.0000 0.0000 x4  4 Br 2.66, 4 Rh 2.66
Rh1 0.2500 0.2500 0.7500 x4  4 Ir 2.66
Br1 0.2500 0.2500 0.2500 x4  4 Ir 2.66

Computed properties:
As for the uncorrected formation energy: 0.989 eV/atom.

# Pr5Nd12Th2

Crystalline Pr5Nd12Th2 at its relaxed geometry (PBE-GGA, the Alexandria database).

Lattice parameters (Å, degrees): 22.8600 7.1809 8.8692 90.00 110.41 90.00
With the nearest neighbours (Å) after each atom.
Space group C2/m (No. 12)
Unique sites:
Pr1 0.0000 0.0000 0.0000 x2  4 Nd 3.47
Pr2 0.1496 0.5000 0.5957 x4  9 Nd 3.46-3.73, 1 Pr 3.61, 2 Th 3.69
Pr3 0.2482 0.0000 0.9894 x4  9 Nd 3.55-3.87, 3 Pr 3.59-3.61
Nd1 0.0463 0.5000 0.2024 x4  1 Pr 3.46, 5 Nd 3.47-3.79, 2 Th 3.64
Nd2 0.1064 0.2550 0.8842 x8  1 Th 3.43, 4 Pr 3.47-3.58, 5 Nd 3.52-3.78
Nd3 0.1366 0.0000 0.5457 x4  2 Th 3.50, 6 Nd 3.58-3.90, 3 Pr 3.62-3.87
Nd4 0.2012 0.2533 0.2934 x8  7 Nd 3.52-3.90, 4 Pr 3.58-3.73
Th1 0.0000 0.2508 0.5000 x4  6 Nd 3.43-3.64, 2 Th 3.58-3.60, 2 Pr 3.69

Computed properties:
The raw total energy comes out at -4.901 eV per atom.

# Li2ErMnS4

Crystalline Li2ErMnS4 at its relaxed geometry (PBE-GGA, the Alexandria database).

Lattice parameters (Å, degrees): 6.3634 3.7414 6.4537 90.00 109.00 90.00
With the nearest neighbours (Å) after each atom.
Space group P2/m (No. 10)
Unique sites:
Li1 0.0000 0.0000 0.0000 x1  6 S 2.72-2.77
Li2 0.5000 0.5000 0.0000 x1  6 S 2.56-2.61
Er1 0.0000 0.5000 0.5000 x1  6 S 2.66-2.68
Mn1 0.5000 0.0000 0.5000 x1  6 S 2.45-2.56
S1 0.2707 0.5000 0.2602 x2  3 Li 2.56-2.72, 2 Mn 2.56, 1 Er 2.66
S2 0.2723 0.0000 0.7415 x2  1 Mn 2.45, 2 Li 2.61, 2 Er 2.68

Computed properties:
As for the uncorrected formation energy: -1.314 eV/atom.

# CeScAl2

Crystalline CeScAl2 at its relaxed geometry (PBE-GGA, the Alexandria database).

Lattice parameters (Å, degrees): 4.5059 4.5059 4.3385 90.00 90.00 90.00
With the nearest neighbours (Å) after each atom.
Space group P4/mmm (No. 123)
Unique sites:
Ce1 0.0000 0.0000 0.0000 x1  8 Al 3.13, 4 Sc 3.19
Sc1 0.5000 0.5000 0.0000 x1  8 Al 3.13, 4 Ce 3.19
Al1 0.0000 0.5000 0.5000 x2  4 Sc 3.13, 4 Ce 3.13, 4 Al 3.19

Computed properties:
The raw total energy comes out at -5.223 eV per atom.

no.,total moment (μB/atom)
1,0.000
2,0.000
3,0.000
4,1.338
5,0.294
6,0.000
7,0.500
8,0.140